# 1
# NpAg2SnTe4 | the Alexandria database | PBE-GGA | optimized geometry
# - E_form (uncorrected): -0.26 eV per atom
data_NpAg2SnTe4
_chemical_formula_sum 'Np1 Ag2 Sn1 Te4'
_cell_length_a 7.2609
_cell_length_b 4.4400
_cell_length_c 7.7789
_cell_angle_alpha 90.00
_cell_angle_beta 111.08
_cell_angle_gamma 90.00
_symmetry_space_group_name_H-M 'P 1 2/m 1'
_symmetry_Int_Tables_number 10
loop_
_symmetry_equiv_pos_as_xyz
'x,y,z'
'-x,-y,-z'
'-x,y,-z'
'x,-y,z'
loop_
_atom_site_label
_atom_site_type_symbol
_atom_site_fract_x
_atom_site_fract_y
_atom_site_fract_z
Np1 Np 0.0000 0.0000 0.0000
Ag1 Ag 0.5000 0.0000 0.5000
Ag2 Ag 0.5000 0.5000 0.0000
Sn1 Sn 0.0000 0.5000 0.5000
Te1 Te 0.2569 0.5000 0.2526
Te2 Te 0.2621 0.0000 0.7593

---

# 2
# NpZnAgSn | the Alexandria database | PBE-GGA | optimized geometry
# - Energy of formation from the pure elements: 127 meV/atom
data_NpZnAgSn
_chemical_formula_sum 'Np4 Zn4 Ag4 Sn4'
_cell_length_a 7.0562
_cell_length_b 7.0562
_cell_length_c 7.0562
_cell_angle_alpha 90.00
_cell_angle_beta 90.00
_cell_angle_gamma 90.00
_symmetry_space_group_name_H-M 'F -4 3 m'
_symmetry_Int_Tables_number 216
_symmetry_space_group_name_Hall 'F -4 2 3'
loop_
_atom_site_label
_atom_site_type_symbol
_atom_site_fract_x
_atom_site_fract_y
_atom_site_fract_z
Np1 Np 0.0000 0.0000 0.0000
Zn1 Zn 0.2500 0.2500 0.7500
Ag1 Ag 0.0000 0.0000 0.5000
Sn1 Sn 0.2500 0.2500 0.2500

---

# 3
# SrNpAgTe3 | the Alexandria database | PBE-GGA | optimized geometry
# - E_form (uncorrected): -0.88 eV per atom
data_SrNpAgTe3
_chemical_formula_sum 'Sr2 Np2 Ag2 Te6'
_cell_length_a 9.0815
_cell_length_b 4.4659
_cell_length_c 9.9637
_cell_angle_alpha 90.00
_cell_angle_beta 104.23
_cell_angle_gamma 90.00
_symmetry_space_group_name_H-M 'P 1 21/m 1'
_symmetry_Int_Tables_number 11
loop_
_symmetry_equiv_pos_as_xyz
'x,y,z'
'-x,-y,-z'
'-x,y+1/2,-z'
'x,-y+1/2,z'
loop_
_atom_site_label
_atom_site_type_symbol
_atom_site_fract_x
_atom_site_fract_y
_atom_site_fract_z
Sr1 Sr 0.1914 0.2500 0.2452
Np1 Np 0.3248 0.7500 0.8369
Ag1 Ag 0.0834 0.2500 0.5822
Te1 Te 0.0941 0.2500 0.8702
Te2 Te 0.2537 0.7500 0.5152
Te3 Te 0.4343 0.7500 0.1622

---

# 4
# Tb2NpAg3Te6 | the Alexandria database | PBE-GGA | optimized geometry
# - E_form (uncorrected): -0.68 eV per atom
data_Tb2NpAg3Te6
_chemical_formula_sum 'Tb4 Np2 Ag6 Te12'
_cell_length_a 20.1552
_cell_length_b 4.4223
_cell_length_c 8.3849
_cell_angle_alpha 90.00
_cell_angle_beta 102.71
_cell_angle_gamma 90.00
_symmetry_space_group_name_H-M 'C 1 2/m 1'
_symmetry_Int_Tables_number 12
loop_
_symmetry_equiv_pos_as_xyz
'x,y,z'
'-x,-y,-z'
'-x,y,-z'
'x,-y,z'
'x+1/2,y+1/2,z'
'-x+1/2,-y+1/2,-z'
'-x+1/2,y+1/2,-z'
'x+1/2,-y+1/2,z'
loop_
_atom_site_label
_atom_site_type_symbol
_atom_site_fract_x
_atom_site_fract_y
_atom_site_fract_z
Tb1 Tb 0.1748 0.0000 0.3098
Np1 Np 0.0000 0.5000 0.0000
Ag1 Ag 0.0000 0.5000 0.5000
Ag2 Ag 0.2080 0.0000 0.7767
Te1 Te 0.0168 0.0000 0.2675
Te2 Te 0.1586 0.5000 0.0416
Te3 Te 0.1644 0.5000 0.5701

---

# 5
# TbNp2AgTe5 | the Alexandria database | PBE-GGA | optimized geometry
# - E_form (uncorrected): -0.72 eV per atom
data_TbNp2AgTe5
_chemical_formula_sum 'Tb4 Np8 Ag4 Te20'
_cell_length_a 4.3337
_cell_length_b 18.7332
_cell_length_c 13.2388
_cell_angle_alpha 90.00
_cell_angle_beta 90.00
_cell_angle_gamma 90.00
_symmetry_space_group_name_H-M 'C m c 21'
_symmetry_Int_Tables_number 36
loop_
_symmetry_equiv_pos_as_xyz
'x,y,z'
'-x,-y,z+1/2'
'-x,y,z'
'x,-y,z+1/2'
'x+1/2,y+1/2,z'
'-x+1/2,-y+1/2,z+1/2'
'-x+1/2,y+1/2,z'
'x+1/2,-y+1/2,z+1/2'
loop_
_atom_site_label
_atom_site_type_symbol
_atom_site_fract_x
_atom_site_fract_y
_atom_site_fract_z
Tb1 Tb 0.0000 0.1935 0.0000
Np1 Np 0.0000 0.1140 0.6741
Np2 Np 0.0000 0.1230 0.2974
Ag1 Ag 0.0000 0.4318 0.4497
Te1 Te 0.0000 0.0411 0.0703
Te2 Te 0.0000 0.2891 0.6632
Te3 Te 0.0000 0.3056 0.3292
Te4 Te 0.0000 0.3592 0.9913
Te5 Te 0.0000 0.5000 0.2662

---

# 6
# NpAgTe3 | the Alexandria database | PBE-GGA | optimized geometry
# - E_form (uncorrected): -0.27 eV per atom
data_NpAgTe3
_chemical_formula_sum 'Np4 Ag4 Te12'
_cell_length_a 4.6497
_cell_length_b 18.2789
_cell_length_c 7.6262
_cell_angle_alpha 90.00
_cell_angle_beta 90.00
_cell_angle_gamma 90.00
_symmetry_space_group_name_H-M 'C m c m'
_symmetry_Int_Tables_number 63
_symmetry_space_group_name_Hall '-C 2c 2'
loop_
_atom_site_label
_atom_site_type_symbol
_atom_site_fract_x
_atom_site_fract_y
_atom_site_fract_z
Np1 Np 0.0000 0.1999 0.2500
Ag1 Ag 0.0000 0.4523 0.2500
Te1 Te 0.0000 0.0312 0.2500
Te2 Te 0.0000 0.3355 0.9997

---

Number 1: calculated volume 234.00 Å³ per cell, DFT total energy -4.66 eV/atom. Number 2: calculated volume 351.33 Å³ per cell, DFT total energy -5.14 eV/atom. Number 3: calculated volume 391.69 Å³ per cell, DFT total energy -5.36 eV/atom. Number 4: calculated volume 729.05 Å³ per cell, DFT total energy -4.82 eV/atom. Number 5: calculated volume 1074.78 Å³ per cell, DFT total energy -6.17 eV/atom. Number 6: calculated volume 648.15 Å³ per cell, DFT total energy -5.32 eV/atom.